An optimized crystal structure of NaHgSb4. Source: Alexandria via LeMat-Bulk, functional PBE.

Its energy above the most stable polymorph in this dataset is 0.00 eV per formula unit. The formation energy without anion corrections is -0.5 eV/f.u.

Lattice parameters (Å, degrees): 4.187 6.548 7.622 115.00 105.67 90.62
Space group P-1 (No. 2)
Symmetry-distinct sites (fractional):
Na (0.000, 0.000, 0.000)
Hg (0.000, 0.500, 0.000)
Sb (0.328, 0.550, 0.659)
Sb (0.330, 0.106, 0.658)